(1)
A plane-wave DFT calculation with PBE-GGA was carried out for a relaxed HgBN2 crystal.

Output
size of the total moment: 0.0 μB/f.u.
energy: -5.358 eV per atom

Lattice parameters (Å, degrees): 5.4055 5.4055 5.4055 39.10 39.10 39.10
With the nearest neighbours (Å) after each atom.
Positions (direct):
1 Hg 0.0000 0.0000 0.0000  6 N 2.38
2 B 0.5000 0.5000 0.5000  2 N 1.34
3 N 0.4101 0.4101 0.4101  1 B 1.34
4 N 0.5899 0.5899 0.5899  1 B 1.34

(2)
A plane-wave DFT calculation with PBE-GGA was carried out for a relaxed Tb6TmSc4 crystal.

Output
size of the total moment: 0.0 μB/f.u.
energy: -4.912 eV per atom
ΔH_f (0 K): 3.55 eV/f.u.

Lattice parameters (Å, degrees): 8.7519 8.7519 8.7519 134.97 134.97 65.57
With the nearest neighbours (Å) after each atom.
Positions (direct):
1 Tb 0.0000 0.5000 0.5000  4 Sc 2.90
2 Tb 0.0137 0.6132 0.0000  3 Sc 3.22-3.47, 1 Tm 3.34
3 Tb 0.3868 0.3868 0.4005  3 Sc 3.22-3.47, 1 Tm 3.34
4 Tb 0.5000 0.0000 0.5000  4 Sc 2.90
5 Tb 0.6132 0.0137 0.0000  3 Sc 3.22-3.47, 1 Tm 3.34
6 Tb 0.9863 0.9863 0.5995  3 Sc 3.22-3.47, 1 Tm 3.34
7 Tm 0.0000 0.0000 0.0000  8 Tb 3.34-3.35, 4 Sc 3.56
8 Sc 0.2482 0.2482 0.6889  3 Tb 2.90-3.22, 1 Sc 2.95
9 Sc 0.4407 0.7518 0.0000  3 Tb 2.90-3.22, 1 Sc 2.95
10 Sc 0.5593 0.5593 0.3111  3 Tb 2.90-3.22, 1 Sc 2.95
11 Sc 0.7518 0.4407 0.0000  3 Tb 2.90-3.22, 1 Sc 2.95

(3)
A plane-wave DFT calculation with PBE-GGA was carried out for a relaxed Li2NiAuI crystal.

Output
size of the total moment: 0.0 μB/f.u.
energy: -2.374 eV per atom

Lattice parameters (Å, degrees): 4.7411 4.7411 5.4840 90.00 90.00 90.00
With the nearest neighbours (Å) after each atom.
Positions (direct):
1 Li 0.0000 0.5000 0.0000  2 Au 2.37
2 Li 0.5000 0.0000 0.0000  2 Au 2.37
3 Ni 0.0000 0.0000 0.5000  4 I 3.35, 8 Li 3.62
4 Au 0.5000 0.5000 0.0000  4 Li 2.37
5 I 0.5000 0.5000 0.5000  2 Au 2.74

(4)
A plane-wave DFT calculation with PBE-GGA was carried out for a relaxed Tb5TmIr6 crystal.

Output
size of the total moment: 0.0 μB/f.u.
energy: -7.535 eV per atom
ΔH_f (0 K): -9.63 eV/f.u.

Lattice parameters (Å, degrees): 7.5076 7.5076 7.1699 90.00 90.00 143.17
With the nearest neighbours (Å) after each atom.
Positions (direct):
1 Tb 0.0000 0.0000 0.0000  8 Ir 2.97-2.99
2 Tb 0.3335 0.6665 0.0000  8 Ir 2.98-3.00
3 Tb 0.3338 0.6662 0.5000  8 Ir 2.96-2.99
4 Tb 0.6662 0.3338 0.5000  8 Ir 2.96-2.99
5 Tb 0.6665 0.3335 0.0000  8 Ir 2.98-3.00
6 Tm 0.0000 0.0000 0.5000  8 Ir 2.96
7 Ir 0.1656 0.8344 0.2515  1 Tm 2.96, 7 Tb 2.97-3.00
8 Ir 0.1656 0.8344 0.7485  1 Tm 2.96, 7 Tb 2.97-3.00
9 Ir 0.5000 0.5000 0.2533  6 Tb 2.96-2.99, 2 Tm 2.96
10 Ir 0.5000 0.5000 0.7467  6 Tb 2.96-2.99, 2 Tm 2.96
11 Ir 0.8344 0.1656 0.2515  1 Tm 2.96, 7 Tb 2.97-3.00
12 Ir 0.8344 0.1656 0.7485  1 Tm 2.96, 7 Tb 2.97-3.00

(5)
A plane-wave DFT calculation with PBE-GGA was carried out for a relaxed SeNF crystal.

Output
size of the total moment: 0.0 μB/f.u.
energy: -5.059 eV per atom

Lattice parameters (Å, degrees): 8.3966 4.0509 8.1121 90.00 103.36 90.00
With the nearest neighbours (Å) after each atom.
Positions (direct):
1 Se 0.0257 0.1844 0.3826  1 F 1.82
2 Se 0.0257 0.3156 0.8826  1 F 1.82
3 Se 0.9743 0.6844 0.1174  1 F 1.82
4 Se 0.9743 0.8156 0.6174  1 F 1.82
5 N 0.4502 0.0937 0.9863  1 N 1.11
6 N 0.4502 0.4063 0.4863  1 N 1.11
7 N 0.5498 0.5937 0.5137  1 N 1.11
8 N 0.5498 0.9063 0.0137  1 N 1.11
9 F 0.1959 0.7283 0.1685  1 Se 1.82
10 F 0.1959 0.7717 0.6685  1 Se 1.82
11 F 0.8041 0.2283 0.3315  1 Se 1.82
12 F 0.8041 0.2717 0.8315  1 Se 1.82

(6)
A plane-wave DFT calculation with PBE-GGA was carried out for a relaxed MnCoAu2 crystal.

Output
size of the total moment: 5.2 μB/f.u.
energy: -5.628 eV per atom
ΔH_f (0 K): 0.32 eV/f.u.

Lattice parameters (Å, degrees): 3.1026 3.1026 6.3439 90.00 90.00 90.00
With the nearest neighbours (Å) after each atom.
Positions (direct):
1 Mn 0.0000 0.0000 0.0000  4 Co 2.53, 5 Au 2.72-2.82
2 Co 0.5000 0.5000 0.8014  4 Mn 2.53, 4 Au 2.69
3 Au 0.0000 0.0000 0.5561  4 Co 2.69, 1 Mn 2.82, 4 Au 2.92
4 Au 0.5000 0.5000 0.2531  4 Mn 2.72, 1 Co 2.87, 4 Au 2.92

Question: Which of these has the lowest energy?
Answer: Tb5TmIr6

Question: The lowest energy belongs to which entry?
Answer: Tb5TmIr6

Question: Among the records above, which one has the highest size of the total moment?
Answer: MnCoAu2